Record 1
VASP calculation (GGA-PBE) on an optimized crystal structure of NdHoTmRu.

Output
Crystal system: tetragonal
Energy relative to the elements: -1.07 eV/f.u.

a b c (Å): 3.4252 3.4252 8.9802
angles (deg): 90.00 90.00 90.00
Space group P4mm (No. 99)
Unique sites:
Nd 0.0000 0.0000 0.0000 (multiplicity 1)
Ho 0.5000 0.5000 0.6777 (multiplicity 1)
Tm 0.5000 0.5000 0.3179 (multiplicity 1)
Ru 0.0000 0.0000 0.4957 (multiplicity 1)



Record 2
VASP calculation (GGA-PBE) on an optimized crystal structure of Nd2HoU2Ru5.

Output
Crystal system: tetragonal
Energy relative to the elements: -2.29 eV/f.u.

a b c (Å): 10.8514 10.8514 3.5399
angles (deg): 90.00 90.00 90.00
Space group P4/mbm (No. 127)
Unique sites:
Nd 0.1752 0.3248 0.0000 (multiplicity 4)
Ho 0.0000 0.0000 0.0000 (multiplicity 2)
U 0.1363 0.6363 0.0000 (multiplicity 4)
Ru 0.0000 0.5000 0.5000 (multiplicity 2)
Ru 0.0499 0.7846 0.5000 (multiplicity 8)



Record 3
VASP calculation (GGA-PBE) on an optimized crystal structure of NdHoZnRu.

Output
Crystal system: orthorhombic
Energy relative to the elements: -1.12 eV/f.u.
Polymorph energy (0 for the lowest one): 4 meV per atom

a b c (Å): 4.2973 4.0232 10.7056
angles (deg): 90.00 90.00 90.00
Space group Amm2 (No. 38)
Unique sites:
Nd 0.0000 0.0000 0.0000 (multiplicity 2)
Ho 0.5000 0.0000 0.7170 (multiplicity 2)
Zn 0.5000 0.0000 0.4201 (multiplicity 2)
Ru 0.0000 0.0000 0.2770 (multiplicity 2)



Record 4
VASP calculation (GGA-PBE) on an optimized crystal structure of NdHoZnRu.

Output
Crystal system: cubic
Energy relative to the elements: -1.13 eV/f.u.
Polymorph energy (0 for the lowest one): 0 meV per atom

a b c (Å): 7.0577 7.0577 7.0577
angles (deg): 90.00 90.00 90.00
Space group F-43m (No. 216)
Unique sites:
Nd 0.0000 0.0000 0.0000 (multiplicity 4)
Ho 0.0000 0.0000 0.5000 (multiplicity 4)
Zn 0.2500 0.2500 0.2500 (multiplicity 4)
Ru 0.2500 0.2500 0.7500 (multiplicity 4)



Record 5
VASP calculation (GGA-PBE) on an optimized crystal structure of Nd6HoS8.

Output
Crystal system: cubic
Polymorph energy (0 for the lowest one): 0 meV per atom
Raw formation energy: -2969 kJ/mol of formula units

a b c (Å): 11.4613 11.4613 11.4613
angles (deg): 90.00 90.00 90.00
Space group Fm-3m (No. 225)
Unique sites:
Nd 0.0000 0.2500 0.2500 (multiplicity 24)
Ho 0.0000 0.0000 0.0000 (multiplicity 4)
S 0.0000 0.0000 0.2416 (multiplicity 24)
S 0.2500 0.2500 0.2500 (multiplicity 8)



Record 6
VASP calculation (GGA-PBE) on an optimized crystal structure of Nd3Ho2S8.

Output
Crystal system: monoclinic
Raw formation energy: -2265 kJ/mol of formula units

a b c (Å): 13.9155 8.1056 6.8694
angles (deg): 90.00 110.87 90.00
Space group C2/m (No. 12)
Unique sites:
Nd 0.0000 0.0000 0.0000 (multiplicity 2)
Nd 0.0000 0.2644 0.5000 (multiplicity 4)
Ho 0.2375 0.5000 0.1547 (multiplicity 4)
S 0.1166 0.5000 0.3853 (multiplicity 4)
S 0.1215 0.0000 0.4395 (multiplicity 4)
S 0.1297 0.2334 0.9186 (multiplicity 8)



Record 7
VASP calculation (GGA-PBE) on an optimized crystal structure of Nd3Ho5S12.

Output
Crystal system: cubic
Raw formation energy: -3700 kJ/mol of formula units

a b c (Å): 16.2276 16.2276 16.2276
angles (deg): 90.00 90.00 90.00
Space group Ia-3d (No. 230)
Unique sites:
Nd 0.0000 0.2500 0.1250 (multiplicity 24)
Ho 0.0000 0.0000 0.0000 (multiplicity 16)
Ho 0.0000 0.2500 0.3750 (multiplicity 24)
S 0.0225 0.0675 0.6522 (multiplicity 96)



Record 8
VASP calculation (GGA-PBE) on an optimized crystal structure of Nd3HoS6.

Output
Crystal system: trigonal
Raw formation energy: -1984 kJ/mol of formula units

a b c (Å): 11.7953 11.7953 13.9047
angles (deg): 90.00 90.00 120.00
Space group R-3 (No. 148, hexagonal axes)
Unique sites:
Nd 0.0485 0.2701 0.2025 (multiplicity 18)
Ho 0.0000 0.0000 0.0000 (multiplicity 3)
Ho 0.0000 0.0000 0.5000 (multiplicity 3)
S 0.0227 0.2099 0.4001 (multiplicity 18)
S 0.0310 0.1910 0.8785 (multiplicity 18)



Record 9
VASP calculation (GGA-PBE) on an optimized crystal structure of NdHo2S4.

Output
Crystal system: orthorhombic
Polymorph energy (0 for the lowest one): 17 meV per atom
Raw formation energy: -1386 kJ/mol of formula units

a b c (Å): 11.9243 3.8724 14.1204
angles (deg): 90.00 90.00 90.00
Space group Pnma (No. 62)
Unique sites:
Nd 0.2472 0.2500 0.1682 (multiplicity 4)
Ho 0.0628 0.2500 0.3882 (multiplicity 4)
Ho 0.0923 0.2500 0.9052 (multiplicity 4)
S 0.0383 0.7500 0.7830 (multiplicity 4)
S 0.0959 0.2500 0.5778 (multiplicity 4)
S 0.1301 0.7500 0.0393 (multiplicity 4)
S 0.2009 0.7500 0.3184 (multiplicity 4)



Record 10
VASP calculation (GGA-PBE) on an optimized crystal structure of NdHo4S6.

Output
Crystal system: orthorhombic
Raw formation energy: -2165 kJ/mol of formula units

a b c (Å): 3.8592 12.8164 19.8425
angles (deg): 90.00 90.00 90.00
Space group Cmcm (No. 63)
Unique sites:
Nd 0.0000 0.1534 0.2500 (multiplicity 4)
Ho 0.0000 0.0922 0.6265 (multiplicity 8)
Ho 0.0000 0.3615 0.5394 (multiplicity 8)
S 0.0000 0.0000 0.0000 (multiplicity 4)
S 0.0000 0.1843 0.7500 (multiplicity 4)
S 0.0000 0.2684 0.0886 (multiplicity 8)
S 0.0000 0.4528 0.6647 (multiplicity 8)



Record 11
VASP calculation (GGA-PBE) on an optimized crystal structure of Nd2Ho3S4.

Output
Crystal system: monoclinic
Raw formation energy: -1530 kJ/mol of formula units

a b c (Å): 12.9421 3.9002 9.6419
angles (deg): 90.00 118.67 90.00
Space group C2/m (No. 12)
Unique sites:
Nd 0.0990 0.0000 0.4034 (multiplicity 4)
Ho 0.0000 0.5000 0.0000 (multiplicity 2)
Ho 0.2047 0.5000 0.8040 (multiplicity 4)
S 0.1046 0.0000 0.9068 (multiplicity 4)
S 0.1979 0.5000 0.2900 (multiplicity 4)



Record 12
VASP calculation (GGA-PBE) on an optimized crystal structure of Nd2HoS4.

Output
Crystal system: orthorhombic
Polymorph energy (0 for the lowest one): 13 meV per atom
Raw formation energy: -1351 kJ/mol of formula units

a b c (Å): 3.8621 13.4450 13.4181
angles (deg): 90.00 90.00 90.00
Space group Cmcm (No. 63)
Unique sites:
Nd 0.0000 0.1293 0.0722 (multiplicity 8)
Ho 0.0000 0.3723 0.2500 (multiplicity 4)
S 0.0000 0.0171 0.2500 (multiplicity 4)
S 0.0000 0.2196 0.6262 (multiplicity 8)
S 0.0000 0.5000 0.0000 (multiplicity 4)